[1]
Below is Na3Pr3TiO8 after structural relaxation, with properties calculated at the GGA-PBE level.

The structure belongs to space group R-3m (No. 166, hexagonal axes); the cell edges are 6.9857, 6.9857 and 16.7226 Å and the angles 90.00°, 90.00° and 120.00°. The asymmetric unit holds Na at (0.0000, 0.5000, 0.0000), Pr at (0.0000, 0.5000, 0.5000), Ti at (0.0000, 0.0000, 0.5000), O at (0.0000, 0.0000, 0.2407) and O at (0.0475, 0.5237, 0.2321).

The final energy is -7.045 eV/atom. As for the energy relative to the elements, uncorrected: -2655 meV per atom.



[2]
Below is Cs3Th3InTe8 after structural relaxation, with properties calculated at the GGA-PBE level.

The structure belongs to space group R-3m (No. 166, hexagonal axes); the cell edges are 9.4118, 9.4118 and 26.6276 Å and the angles 90.00°, 90.00° and 120.00°. The asymmetric unit holds Cs at (0.0000, 0.5000, 0.0000), Th at (0.0000, 0.5000, 0.5000), In at (0.0000, 0.0000, 0.5000), Te at (0.0000, 0.0000, 0.2322) and Te at (0.0224, 0.5112, 0.7702).

The final energy is -4.624 eV/atom. As for the energy relative to the elements, uncorrected: -1111 meV per atom.



[3]
Below is Pm2NdTm after structural relaxation, with properties calculated at the GGA-PBE level.

The structure belongs to space group P4/mmm (No. 123); the cell edges are 5.109, 5.109 and 5.121 Å and the angles 90.00°, 90.00° and 90.00°. The asymmetric unit holds Pm at (0.000, 0.500, 0.000), Nd at (0.000, 0.000, 0.500) and Tm at (0.500, 0.500, 0.500).

The energy of formation comes out at 0.1 eV per formula unit. The final energy is -4.669 eV/atom. The energy above the most stable polymorph in this dataset comes out at 0.0000 eV/atom.



[4]
Below is Pr4Dy7Y after structural relaxation, with properties calculated at the GGA-PBE level.

The structure belongs to space group C2/m (No. 12); the cell edges are 12.165, 5.962 and 12.892 Å and the angles 90.00°, 118.03° and 90.00°. The asymmetric unit holds Pr at (0.056, 0.000, 0.334), Pr at (0.139, 0.500, 0.778), Dy at (0.000, 0.000, 0.000), Dy at (0.137, 0.500, 0.505), Dy at (0.210, 0.000, 0.923), Dy at (0.243, 0.500, 0.312) and Y at (0.000, 0.500, 0.000).

The energy of formation comes out at 3.1 eV per formula unit. The final energy is -4.554 eV/atom. The energy above the most stable polymorph in this dataset comes out at 0.1762 eV/atom.



[5]
Below is Ca2BiI after structural relaxation, with properties calculated at the GGA-PBE level.

The structure belongs to space group Fm-3m (No. 225); the cell edges are 8.036, 8.036 and 8.036 Å and the angles 90.00°, 90.00° and 90.00°. The asymmetric unit holds Ca at (0.250, 0.250, 0.250), Bi at (0.000, 0.000, 0.000) and I at (0.000, 0.000, 0.500).

The final energy is -3.303 eV/atom. As for the energy relative to the elements, uncorrected: -944 meV per atom.



[6]
Below is Si2SnOs2 after structural relaxation, with properties calculated at the GGA-PBE level.

The structure belongs to space group P4/mbm (No. 127); the cell edges are 7.303, 7.303 and 2.894 Å and the angles 90.00°, 90.00° and 90.00°. The asymmetric unit holds Si at (0.140, 0.360, 0.000), Sn at (0.000, 0.000, 0.500) and Os at (0.148, 0.648, 0.500).

The final energy is -7.442 eV/atom. As for the energy relative to the elements, uncorrected: 20 meV per atom.



[7]
Below is SrTaB3 after structural relaxation, with properties calculated at the GGA-PBE level.

The structure belongs to space group Pm-3m (No. 221); the cell edges are 4.399, 4.399 and 4.399 Å and the angles 90.00°, 90.00° and 90.00°. The asymmetric unit holds Sr at (0.000, 0.000, 0.000), Ta at (0.500, 0.500, 0.500) and B at (0.000, 0.500, 0.500).

The energy of formation comes out at 2.8 eV per formula unit. The final energy is -6.154 eV/atom. The energy above the most stable polymorph in this dataset comes out at 0.0000 eV/atom.



[8]
Below is HfCuC after structural relaxation, with properties calculated at the GGA-PBE level.

The structure belongs to space group Pmmn (No. 59, origin choice 2); the cell edges are 4.318, 4.495 and 8.112 Å and the angles 90.00°, 90.00° and 90.00°. The asymmetric unit holds Hf at (0.250, 0.250, 0.062), Hf at (0.250, 0.750, 0.423), Cu at (0.250, 0.501, 0.743), C at (0.250, 0.250, 0.350) and C at (0.250, 0.750, 0.973).

The energy of formation comes out at 0.2 eV per formula unit. The final energy is -7.683 eV/atom.